(1)
KNiCl PBE relaxed; volume = 164.7 Å³ per cell; uncorrected formation energy = -0.55 eV/atom; offset from the most stable computed form = 0.21 eV/f.u.
1.0
-2.541 4.757 3.407
2.541 -4.757 3.407
2.541 4.757 -3.407
K Ni Cl
2 2 2
direct
0.213 0.000 0.213
0.787 0.000 0.787
0.659 0.410 0.751
0.659 0.908 0.249
0.405 0.405 0.000
0.913 0.413 0.500

***

(2)
NiPbBr2 PBE relaxed; volume = 102.8 Å³ per cell; uncorrected formation energy = 0.20 eV/atom; offset from the most stable computed form = 2.11 eV/f.u.
1.0
3.834 0.000 0.000
0.000 4.461 0.000
0.000 0.000 6.012
Ni Pb Br
1 1 2
direct
0.000 0.000 0.000
0.500 0.000 0.500
0.000 0.500 0.500
0.500 0.500 0.000

***

(3)
PS2I PBE relaxed; volume = 113.9 Å³ per cell; uncorrected formation energy = 0.09 eV/atom; offset from the most stable computed form = 0.06 eV/f.u.
1.0
1.659 0.958 11.944
-1.659 0.958 11.944
0.000 -1.916 11.944
P S I
1 2 1
direct
0.000 0.000 0.000
0.371 0.371 0.371
0.629 0.629 0.629
0.500 0.500 0.500

***

(4)
GePdI2 PBE relaxed; volume = 100.7 Å³ per cell; uncorrected formation energy = 0.28 eV/atom; offset from the most stable computed form = 0.56 eV/f.u.
1.0
0.000 3.692 3.692
3.692 0.000 3.692
3.692 3.692 0.000
Ge Pd I
1 1 2
direct
0.000 0.000 0.000
0.500 0.500 0.500
0.250 0.250 0.250
0.750 0.750 0.750

***

(5)
AlHPd3 PBE relaxed; volume = 258.7 Å³ per cell; offset from the most stable computed form = 0.67 eV/f.u.
1.0
7.085 0.000 0.000
0.000 5.084 0.000
-3.298 0.000 7.183
Al H Pd
4 4 12
direct
0.122 0.191 0.128
0.122 0.309 0.628
0.878 0.691 0.372
0.878 0.809 0.872
0.428 0.747 0.356
0.428 0.753 0.856
0.572 0.247 0.144
0.572 0.253 0.644
0.123 0.675 0.209
0.123 0.825 0.709
0.301 0.073 0.463
0.301 0.427 0.963
0.444 0.566 0.647
0.444 0.934 0.147
0.556 0.066 0.853
0.556 0.434 0.353
0.699 0.573 0.037
0.699 0.927 0.537
0.877 0.175 0.291
0.877 0.325 0.791

***

(6)
MgTl2Re PBE relaxed; volume = 83.3 Å³ per cell; energy of formation from the pure elements = 0.691 eV per atom; offset from the most stable computed form = 0.41 eV/f.u.
1.0
1.611 0.930 9.264
-1.611 0.930 9.264
0.000 -1.861 9.264
Mg Tl Re
1 2 1
direct
0.000 0.000 0.000
0.247 0.247 0.247
0.753 0.753 0.753
0.500 0.500 0.500

***

(7)
Zn4Cu3Pt PBE relaxed; volume = 216.7 Å³ per cell; energy of formation from the pure elements = -0.213 eV per atom
1.0
8.745 0.000 0.000
0.000 5.450 0.000
0.000 0.000 4.547
Zn Cu Pt
8 6 2
direct
0.000 0.246 0.000
0.000 0.754 0.000
0.250 0.245 0.370
0.250 0.755 0.370
0.500 0.246 0.000
0.500 0.754 0.000
0.750 0.245 0.630
0.750 0.755 0.630
0.000 0.000 0.500
0.250 0.000 0.864
0.250 0.500 0.868
0.500 0.000 0.500
0.750 0.000 0.136
0.750 0.500 0.132
0.000 0.500 0.500
0.500 0.500 0.500

***

(8)
Pr3TcPb PBE relaxed; volume = 161.1 Å³ per cell; energy of formation from the pure elements = -0.028 eV per atom
1.0
5.442 0.000 0.000
0.000 5.442 0.000
0.000 0.000 5.442
Pr Tc Pb
3 1 1
direct
0.000 0.000 0.500
0.000 0.500 0.000
0.500 0.000 0.000
0.000 0.000 0.000
0.500 0.500 0.500

***

(9)
Ta3Cr5 PBE relaxed; volume = 241.0 Å³ per cell; energy of formation from the pure elements = 0.415 eV per atom; offset from the most stable computed form = 3.17 eV/f.u.
1.0
4.832 0.000 0.000
0.000 6.259 3.985
0.000 -6.259 3.985
Ta Cr
6 10
direct
0.000 0.000 0.000
0.000 0.410 0.788
0.000 0.788 0.410
0.500 0.355 0.974
0.500 0.760 0.760
0.500 0.974 0.355
0.000 0.160 0.392
0.000 0.392 0.160
0.000 0.478 0.478
0.250 0.059 0.705
0.250 0.705 0.059
0.500 0.281 0.281
0.500 0.368 0.600
0.500 0.600 0.368
0.750 0.059 0.705
0.750 0.705 0.059

***

(10)
Pr4Nd5Pu PBE relaxed; volume = 357.5 Å³ per cell; energy of formation from the pure elements = 0.216 eV per atom
1.0
-2.923 5.302 5.767
2.923 -5.302 5.767
2.923 5.302 -5.767
Pr Nd Pu
4 5 1
direct
0.177 0.177 0.000
0.286 0.000 0.286
0.714 0.000 0.714
0.823 0.823 0.000
0.002 0.692 0.310
0.381 0.692 0.690
0.500 0.500 0.000
0.619 0.308 0.310
0.998 0.308 0.690
0.000 0.500 0.500

***

(11)
BaCa2W PBE relaxed; volume = 129.7 Å³ per cell; energy of formation from the pure elements = 0.908 eV per atom; offset from the most stable computed form = 0.22 eV/f.u.
1.0
2.357 -2.363 0.000
2.357 2.363 0.000
0.000 0.000 11.638
Ba Ca W
1 2 1
direct
0.000 0.000 0.000
0.000 0.000 0.400
0.500 0.500 0.684
0.500 0.500 0.216

***

(12)
Cs4Rb3Na4 PBE relaxed; volume = 866.6 Å³ per cell; energy of formation from the pure elements = 0.058 eV per atom
1.0
-3.689 4.839 12.137
3.689 -4.839 12.137
3.689 4.839 -12.137
Cs Rb Na
4 3 4
direct
0.064 0.823 0.242
0.419 0.177 0.242
0.581 0.823 0.758
0.936 0.177 0.758
0.000 0.500 0.500
0.407 0.407 0.000
0.593 0.593 0.000
0.169 0.669 0.500
0.313 0.000 0.313
0.687 0.000 0.687
0.831 0.331 0.500

***

- volume of number 1 (KNiCl)?
  164.7 Å³ per cell